Computed, not measured: La3In at its PBEsol-relaxed geometry at the SCAN level of DFT.

Summary:
D(E_F), states/eV/atom: 0.937
ΔE_f, eV/atom: -0.33
Energy relative to the lowest polymorph listed for this composition, eV/atom: 0.085

a b c (Å): 3.595 5.952 6.054
angles (deg): 98.98 107.27 90.00
Fractional positions:
1 In 0.000 0.000 0.000
2 La 0.737 0.227 0.475
3 La 0.263 0.773 0.525
4 La 0.500 0.500 0.000